# 1
# ZnAgF5 GGA-PBEsol relaxed
# Offset from the most stable computed form in kJ/mol of formula units: 9.1
# N(E_F) in states/eV/f.u.: 0.5
data_ZnAgF5
_cell_length_a 5.237
_cell_length_b 9.504
_cell_length_c 8.373
_cell_angle_alpha 90.00
_cell_angle_beta 109.72
_cell_angle_gamma 90.00
_space_group_name_H-M_alt 'P 1 21/c 1'
_space_group_IT_number 14
loop_
_space_group_symop_operation_xyz
'x,y,z'
'-x,-y,-z'
'-x,y+1/2,-z+1/2'
'x,-y+1/2,z+1/2'
loop_
_atom_site_label
_atom_site_fract_x
_atom_site_fract_y
_atom_site_fract_z
Zn1 0.012 0.006 0.210
Ag1 0.395 0.243 0.632
F1 0.105 0.113 0.636
F2 0.131 0.110 0.007
F3 0.246 0.143 0.348
F4 0.314 0.630 0.369
F5 0.344 0.609 0.733


# 2
# ZnAgF3 GGA-PBEsol relaxed
# N(E_F) in states/eV/f.u.: 3.1
data_ZnAgF3
_cell_length_a 4.239
_cell_length_b 4.239
_cell_length_c 4.239
_cell_angle_alpha 90.00
_cell_angle_beta 90.00
_cell_angle_gamma 90.00
_space_group_name_H-M_alt 'P m -3 m'
_space_group_IT_number 221
_space_group_name_Hall '-P 4 2 3'
loop_
_atom_site_label
_atom_site_fract_x
_atom_site_fract_y
_atom_site_fract_z
Zn1 0.000 0.000 0.000
Ag1 0.500 0.500 0.500
F1 0.000 0.500 0.500


Number 1: energy -3.594 eV/atom, magnetic moment 0.0 μB/f.u.. Number 2: energy -3.006 eV/atom, magnetic moment 0.7 μB/f.u..